GaSiSN2 | PBE-GGA | optimized geometry

```
data_GaSiSN2
_space_group_name_H-M_alt 'C 1 m 1'
_space_group_IT_number 8
_cell_length_a 9.889
_cell_length_b 2.938
_cell_length_c 5.152
_cell_angle_alpha 90.00
_cell_angle_beta 119.83
_cell_angle_gamma 90.00
loop_
_space_group_symop_operation_xyz
'x,y,z'
'x,-y,z'
'x+1/2,y+1/2,z'
'x+1/2,-y+1/2,z'
loop_
_atom_site_label
_atom_site_type_symbol
_atom_site_fract_x
_atom_site_fract_y
_atom_site_fract_z
Ga1 Ga 0.000 0.000 0.000
Si1 Si 0.200 0.500 0.656
S1 S 0.316 0.500 0.274
N1 N 0.121 0.000 0.460
N2 N 0.142 0.500 0.958
```

Calculated values
For the uncorrected formation energy, the calculation gives -0.0364 eV/atom. The calculation puts the total energy at -5.882 eV per atom. The crystal system is monoclinic. The value obtained for the total magnetization is 0.000 μB per cell.

GaSiSN2 | PBE-GGA | optimized geometry

```
data_GaSiSN2
_space_group_name_H-M_alt 'P 1 m 1'
_space_group_IT_number 6
_cell_length_a 4.469
_cell_length_b 2.868
_cell_length_c 6.239
_cell_angle_alpha 90.00
_cell_angle_beta 108.11
_cell_angle_gamma 90.00
loop_
_space_group_symop_operation_xyz
'x,y,z'
'x,-y,z'
loop_
_atom_site_label
_atom_site_type_symbol
_atom_site_fract_x
_atom_site_fract_y
_atom_site_fract_z
Ga1 Ga 0.000 0.000 0.000
Si1 Si 0.618 0.500 0.289
S1 S 0.347 0.500 0.550
N1 N 0.019 0.500 0.343
N2 N 0.469 0.000 0.144
```

Calculated values
For the uncorrected formation energy, the calculation gives -0.0926 eV/atom. The calculation puts the total energy at -5.938 eV per atom. The crystal system is monoclinic. The value obtained for the total magnetization is 0.000 μB per cell.

GaSnSN2 | PBE-GGA | optimized geometry

```
data_GaSnSN2
_space_group_name_H-M_alt 'P 4/m m m'
_space_group_IT_number 123
_space_group_name_Hall '-P 4 2'
_cell_length_a 4.002
_cell_length_b 4.002
_cell_length_c 5.095
_cell_angle_alpha 90.00
_cell_angle_beta 90.00
_cell_angle_gamma 90.00
loop_
_atom_site_label
_atom_site_type_symbol
_atom_site_fract_x
_atom_site_fract_y
_atom_site_fract_z
Ga1 Ga 0.000 0.000 0.000
Sn1 Sn 0.500 0.500 0.500
S1 S 0.000 0.000 0.500
N1 N 0.000 0.500 0.000
```

Calculated values
For the uncorrected formation energy, the calculation gives 0.9472 eV/atom. The calculation puts the total energy at -4.614 eV per atom. The crystal system is tetragonal. The value obtained for the total magnetization is 2.879 μB per cell.

GaSnS2N | PBE-GGA | optimized geometry

```
data_GaSnS2N
_space_group_name_H-M_alt 'P 4/m m m'
_space_group_IT_number 123
_space_group_name_Hall '-P 4 2'
_cell_length_a 5.119
_cell_length_b 5.119
_cell_length_c 4.157
_cell_angle_alpha 90.00
_cell_angle_beta 90.00
_cell_angle_gamma 90.00
loop_
_atom_site_label
_atom_site_type_symbol
_atom_site_fract_x
_atom_site_fract_y
_atom_site_fract_z
Ga1 Ga 0.000 0.000 0.000
Sn1 Sn 0.500 0.500 0.500
S1 S 0.000 0.500 0.500
N1 N 0.500 0.500 0.000
```

Calculated values
For the uncorrected formation energy, the calculation gives 0.6398 eV/atom. The calculation puts the total energy at -4.082 eV per atom. The crystal system is tetragonal. The value obtained for the total magnetization is 1.872 μB per cell.

GaSnSN2 | PBE-GGA | optimized geometry

```
data_GaSnSN2
_space_group_name_H-M_alt 'P 4/m m m'
_space_group_IT_number 123
_space_group_name_Hall '-P 4 2'
_cell_length_a 4.158
_cell_length_b 4.158
_cell_length_c 5.352
_cell_angle_alpha 90.00
_cell_angle_beta 90.00
_cell_angle_gamma 90.00
loop_
_atom_site_label
_atom_site_type_symbol
_atom_site_fract_x
_atom_site_fract_y
_atom_site_fract_z
Ga1 Ga 0.000 0.000 0.000
Sn1 Sn 0.500 0.500 0.500
S1 S 0.500 0.500 0.000
N1 N 0.000 0.500 0.500
```

Calculated values
For the uncorrected formation energy, the calculation gives 1.1336 eV/atom. The calculation puts the total energy at -4.428 eV per atom. The crystal system is tetragonal. The value obtained for the total magnetization is 2.620 μB per cell.

GaSnS2N | PBE-GGA | optimized geometry

```
data_GaSnS2N
_space_group_name_H-M_alt 'P 4/m m m'
_space_group_IT_number 123
_space_group_name_Hall '-P 4 2'
_cell_length_a 4.958
_cell_length_b 4.958
_cell_length_c 3.748
_cell_angle_alpha 90.00
_cell_angle_beta 90.00
_cell_angle_gamma 90.00
loop_
_atom_site_label
_atom_site_type_symbol
_atom_site_fract_x
_atom_site_fract_y
_atom_site_fract_z
Ga1 Ga 0.000 0.000 0.000
Sn1 Sn 0.500 0.500 0.500
S1 S 0.000 0.500 0.000
N1 N 0.000 0.000 0.500
```

Calculated values
For the uncorrected formation energy, the calculation gives 0.4282 eV/atom. The calculation puts the total energy at -4.294 eV per atom. The crystal system is tetragonal. The value obtained for the total magnetization is 0.002 μB per cell.